PBE KNiPt2, optimized geometry; polymorph energy (0 for the lowest one) = 171 meV per atom; E = -17.9 eV/cell; symmetry = Immm (71); energy of formation from the pure elements = 1.082 eV/f.u.
1.0
-3.541 3.711 2.895
-5.412 -1.576 1.708
5.875 -0.405 0.111
K Ni Pt
1 1 2
Cartesian
-2.007 -0.457 2.060
-1.071 2.187 2.654
-8.608 2.053 4.425
-4.821 1.150 2.479